(1)
K2NaIrCl8: optimized geometry, PBE.

crystal system = triclinic
raw formation energy = -104.9 kJ per mole of atoms
total energy = -3.350 eV/atom

a b c (Å): 6.6222 6.6578 8.7120
angles (deg): 78.54 75.74 71.42
Atoms (fractional coordinates):
K 0.0983 0.1094 0.2076
K 0.9017 0.8906 0.7924
Na 0.5000 0.5000 0.5000
Ir 0.5000 0.5000 0.0000
Cl 0.2299 0.5448 0.2337
Cl 0.2697 0.4247 0.8680
Cl 0.2995 0.9247 0.5066
Cl 0.3740 0.8608 0.9079
Cl 0.6260 0.1392 0.0921
Cl 0.7005 0.0753 0.4934
Cl 0.7303 0.5753 0.1320
Cl 0.7701 0.4552 0.7663



(2)
LiPm4Al: optimized geometry, PBE.

formation energy = 0.209 eV/atom
crystal system = tetragonal
total energy = -3.901 eV/atom

a b c (Å): 4.9844 4.9844 7.9379
angles (deg): 90.00 90.00 90.00
Atoms (fractional coordinates):
Li 0.0000 0.0000 0.0000
Pm 0.0000 0.5000 0.2656
Pm 0.0000 0.5000 0.7344
Pm 0.5000 0.0000 0.2656
Pm 0.5000 0.0000 0.7344
Al 0.5000 0.5000 0.5000



(3)
LaMg2Ir: optimized geometry, PBE.

formation energy = -0.092 eV/atom
crystal system = orthorhombic
total energy = -4.337 eV/atom

a b c (Å): 3.1502 4.6124 5.8341
angles (deg): 90.00 90.00 90.00
Atoms (fractional coordinates):
La 0.0000 0.0000 0.0000
Mg 0.5000 0.5000 0.2821
Mg 0.5000 0.5000 0.7179
Ir 0.0000 0.0000 0.5000



(4)
TbDyEr3Tm: optimized geometry, PBE.

formation energy = 0.211 eV/atom
crystal system = monoclinic
total energy = -4.354 eV/atom

a b c (Å): 11.1588 11.1588 6.7111
angles (deg): 97.86 97.86 27.75
Atoms (fractional coordinates):
Tb 0.1317 0.1317 0.4671
Tb 0.8683 0.8683 0.5329
Dy 0.1664 0.1664 0.0305
Dy 0.8336 0.8336 0.9695
Er 0.0255 0.0255 0.7721
Er 0.2746 0.2746 0.6876
Er 0.3360 0.3360 0.2301
Er 0.6640 0.6640 0.7699
Er 0.7254 0.7254 0.3124
Er 0.9745 0.9745 0.2279
Tm 0.4284 0.4284 0.8362
Tm 0.5716 0.5716 0.1638



(5)
DyYHoEr2: optimized geometry, PBE.

formation energy = 0.400 eV/atom
crystal system = orthorhombic
total energy = -4.554 eV/atom

a b c (Å): 7.0369 7.0369 7.1700
angles (deg): 90.00 90.00 107.78
Atoms (fractional coordinates):
Dy 0.2175 0.7825 0.7500
Dy 0.7825 0.2175 0.2500
Y 0.2298 0.7702 0.2500
Y 0.7702 0.2298 0.7500
Ho 0.4892 0.5108 0.7500
Ho 0.5108 0.4892 0.2500
Er 0.1903 0.1903 0.0000
Er 0.1903 0.1903 0.5000
Er 0.8097 0.8097 0.0000
Er 0.8097 0.8097 0.5000



(6)
PmMnIr: optimized geometry, PBE.

energy above the most stable polymorph in this dataset = 113 meV/atom
formation energy = 0.045 eV/atom
crystal system = tetragonal
total energy = -7.549 eV/atom

a b c (Å): 6.7688 6.7688 5.9484
angles (deg): 90.00 90.00 90.00
Atoms (fractional coordinates):
Pm 0.2497 0.2497 0.0000
Pm 0.2503 0.7497 0.2500
Pm 0.7497 0.2503 0.7500
Pm 0.7503 0.7503 0.5000
Mn 0.1287 0.1287 0.5000
Mn 0.3713 0.6287 0.7500
Mn 0.6287 0.3713 0.2500
Mn 0.8713 0.8713 0.0000
Ir 0.1294 0.8706 0.7500
Ir 0.3706 0.3706 0.5000
Ir 0.6294 0.6294 0.0000
Ir 0.8706 0.1294 0.2500